[1]
The following is a DFT calculation (PBE-GGA) of a relaxed Ba2AgBi2 crystal.

abc: 4.9552 6.9639 12.2221
angles: 78.68 78.30 69.16
Fractional coordinates of all 10 atoms:
Ba 0.6885 0.2701 0.3530
Ba 0.9223 0.2538 0.9015
Ba 0.3115 0.7299 0.6470
Ba 0.0777 0.7462 0.0985
Ag 0.5843 0.1460 0.6854
Ag 0.4157 0.8540 0.3146
Bi 0.0566 0.3012 0.5857
Bi 0.6625 0.8107 0.8644
Bi 0.9434 0.6988 0.4143
Bi 0.3375 0.1893 0.1356

Values from the calculation:
Polymorph energy (0 for the lowest one)   0 meV/atom
Energy relative to the elements   -687 meV/atom


[2]
The following is a DFT calculation (PBE-GGA) of a relaxed BaMnTe2 crystal.

abc: 4.4318 4.4337 7.6281
angles: 90.00 90.00 90.00
Each line ends with the local moment (μB).
Fractional coordinates of all 4 atoms:
Te 0.0000 0.0000 0.8760  0.05
Te 0.5000 0.5000 0.2753  0.03
Ba 0.0000 0.0000 0.4241  0.02
Mn 0.5000 0.5000 0.9246  4.33


[3]
The following is a DFT calculation (PBE-GGA) of a relaxed Zn2HgPt crystal.

abc: 6.6524 4.7324 3.0007
angles: 90.13 62.98 123.97
Fractional coordinates of all 4 atoms:
Hg 0.0000 0.5000 0.5000
Pt 0.5000 0.5000 0.0000
Zn 0.0000 0.0000 0.0000
Zn 0.5000 0.0000 0.5000

Values from the calculation:
Energy relative to the elements   -128 meV/atom


[4]
The following is a DFT calculation (PBE-GGA) of a relaxed PrNi2Ge crystal.

abc: 3.9268 3.9268 9.4041
angles: 90.00 90.00 90.00
Fractional coordinates of all 8 atoms:
Pr 0.5000 0.0000 0.2125
Pr 0.0000 0.5000 0.7875
Ni 0.5000 0.0000 0.9041
Ni 0.0000 0.5000 0.0959
Ni 0.0000 0.0000 0.5000
Ni 0.5000 0.5000 0.5000
Ge 0.5000 0.0000 0.6429
Ge 0.0000 0.5000 0.3571

Values from the calculation:
Energy relative to the elements   -408 meV/atom


[5]
The following is a DFT calculation (PBE-GGA) of a relaxed ZrBRh3 crystal.

abc: 4.1453 4.1453 4.1453
angles: 90.00 90.00 90.00
Fractional coordinates of all 5 atoms:
B 0.5000 0.5000 0.5000
Rh 0.0000 0.5000 0.5000
Rh 0.5000 0.0000 0.5000
Rh 0.5000 0.5000 0.0000
Zr 0.0000 0.0000 0.0000

Values from the calculation:
Energy relative to the elements   -745 meV/atom


[6]
The following is a DFT calculation (PBE-GGA) of a relaxed YZr2Hg crystal.

abc: 5.9349 5.9349 5.6721
angles: 65.88 65.88 32.68
Fractional coordinates of all 4 atoms:
Hg 0.5108 0.5108 0.5826
Y 0.7686 0.7686 0.6679
Zr 0.9890 0.9890 0.0594
Zr 0.2316 0.2316 0.1901

Values from the calculation:
Energy relative to the elements   -58 meV/atom


[7]
The following is a DFT calculation (PBE-GGA) of a relaxed CaScGe2Pt5 crystal.

abc: 4.1717 4.1717 9.1300
angles: 90.00 90.00 90.00
Fractional coordinates of all 9 atoms:
Ca 0.0000 0.0000 0.5000
Sc 0.0000 0.0000 0.0000
Ge 0.5000 0.5000 0.1300
Ge 0.5000 0.5000 0.8700
Pt 0.0000 0.5000 0.2689
Pt 0.5000 0.0000 0.2689
Pt 0.0000 0.5000 0.7311
Pt 0.5000 0.0000 0.7311
Pt 0.5000 0.5000 0.5000

Values from the calculation:
Energy relative to the elements   -697 meV/atom


[8]
The following is a DFT calculation (PBE-GGA) of a relaxed AgTe2Os crystal.

abc: 4.8573 4.8573 4.8573
angles: 60.00 60.00 60.00
Fractional coordinates of all 4 atoms:
Te 0.2500 0.2500 0.2500
Te 0.7500 0.7500 0.7500
Os 0.5000 0.5000 0.5000
Ag 0.0000 0.0000 0.0000

Values from the calculation:
Polymorph energy (0 for the lowest one)   365 meV/atom


[9]
The following is a DFT calculation (PBE-GGA) of a relaxed KAcBiPd crystal.

abc: 5.6418 5.6418 5.6418
angles: 60.00 60.00 60.00
Fractional coordinates of all 4 atoms:
K 0.0000 0.0000 0.0000
Ac 0.5000 0.5000 0.5000
Bi 0.2500 0.2500 0.2500
Pd 0.7500 0.7500 0.7500

Values from the calculation:
Energy relative to the elements   -385 meV/atom


[10]
The following is a DFT calculation (PBE-GGA) of a relaxed LiSiSn2 crystal.

abc: 3.6627 3.6627 9.2588
angles: 78.59 78.59 60.00
Fractional coordinates of all 4 atoms:
Si 0.5000 0.5000 0.5000
Sn 0.1007 0.1007 0.6979
Sn 0.8993 0.8993 0.3021
Li 0.0000 0.0000 0.0000


[11]
The following is a DFT calculation (PBE-GGA) of a relaxed HfPPt2F crystal.

abc: 4.6617 3.9754 4.6617
angles: 90.00 90.00 90.00
Fractional coordinates of all 5 atoms:
P 0.5000 0.5000 0.5000
Hf 0.0000 0.5000 0.0000
Pt 0.0000 0.0000 0.5000
Pt 0.5000 0.0000 0.0000
F 0.0000 0.0000 0.0000


[12]
The following is a DFT calculation (PBE-GGA) of a relaxed Hg2C crystal.

abc: 5.0531 5.0531 5.0531
angles: 44.43 44.43 44.43
Fractional coordinates of all 3 atoms:
C 0.0000 0.0000 0.0000
Hg 0.2469 0.2469 0.2469
Hg 0.7531 0.7531 0.7531

Values from the calculation:
Polymorph energy (0 for the lowest one)   1136 meV/atom
Energy relative to the elements   1608 meV/atom


[13]
The following is a DFT calculation (PBE-GGA) of a relaxed CePm3Cd2 crystal.

abc: 3.6642 3.6642 12.9103
angles: 90.00 90.00 90.00
Each line ends with the local moment (μB).
Fractional coordinates of all 6 atoms:
Ce 0.5000 0.5000 0.5000  0.25
Pm 0.0000 0.0000 0.0000  0.12
Pm 0.0000 0.0000 0.6801  -0.01
Pm 0.0000 0.0000 0.3199  -0.01
Cd 0.5000 0.5000 0.8388  0.00
Cd 0.5000 0.5000 0.1612  0.00

Values from the calculation:
Energy relative to the elements   -180 meV/atom


[14]
The following is a DFT calculation (PBE-GGA) of a relaxed Ho4MgPdRu2 crystal.

abc: 4.9127 4.9127 8.5468
angles: 73.30 73.30 60.00
Fractional coordinates of all 8 atoms:
Ho 0.3789 0.3789 0.8633
Ho 0.8718 0.8718 0.3845
Ho 0.1282 0.1282 0.6155
Ho 0.6211 0.6211 0.1367
Mg 0.0000 0.0000 0.0000
Pd 0.5000 0.5000 0.5000
Ru 0.7475 0.7475 0.7574
Ru 0.2525 0.2525 0.2426

Values from the calculation:
Energy relative to the elements   -472 meV/atom


[15]
The following is a DFT calculation (PBE-GGA) of a relaxed SiPdN2O crystal.

abc: 3.9158 3.9158 4.1267
angles: 90.00 90.00 90.00
Each line ends with the local moment (μB).
Fractional coordinates of all 5 atoms:
Si 0.5000 0.5000 0.5000  0.01
O 0.0000 0.0000 0.5000  0.09
Pd 0.0000 0.0000 0.0000  0.29
N 0.0000 0.5000 0.0000  0.71
N 0.5000 0.0000 0.0000  0.71


[16]
The following is a DFT calculation (PBE-GGA) of a relaxed CaAc2Cd6 crystal.

abc: 3.7783 8.9042 8.9043
angles: 120.00 90.00 90.00
Fractional coordinates of all 9 atoms:
Ca 0.0000 0.0000 0.0000
Ac 0.0000 0.3333 0.6667
Ac 0.0000 0.6667 0.3333
Cd 0.5000 0.3270 0.3270
Cd 0.5000 0.6730 0.6730
Cd 0.5000 0.0000 0.6730
Cd 0.5000 0.6730 0.0000
Cd 0.5000 0.3270 0.0000
Cd 0.5000 0.0000 0.3270

Values from the calculation:
Energy relative to the elements   -331 meV/atom


[17]
The following is a DFT calculation (PBE-GGA) of a relaxed Pm2Ho8Sc3 crystal.

abc: 6.5460 8.6715 8.5085
angles: 120.64 96.84 90.00
Fractional coordinates of all 13 atoms:
Pm 0.2792 0.2043 0.4086
Pm 0.7208 0.7957 0.5914
Ho 0.8866 0.5876 0.1753
Ho 0.1134 0.4124 0.8247
Ho 0.7860 0.1912 0.3824
Ho 0.2140 0.8088 0.6176
Ho 0.5764 0.5744 0.7832
Ho 0.5764 0.2088 0.7832
Ho 0.4236 0.7912 0.2168
Ho 0.4236 0.4256 0.2168
Sc 0.5000 0.0000 0.0000
Sc 0.0000 0.1641 0.0000
Sc 0.0000 0.8359 0.0000

Values from the calculation:
Polymorph energy (0 for the lowest one)   211 meV/atom
Energy relative to the elements   257 meV/atom


[18]
The following is a DFT calculation (PBE-GGA) of a relaxed Cs3CuSe crystal.

abc: 6.3551 6.3551 6.3551
angles: 90.00 90.00 90.00
Fractional coordinates of all 5 atoms:
Cs 0.0000 0.5000 0.0000
Cs 0.0000 0.0000 0.5000
Cs 0.5000 0.0000 0.0000
Cu 0.0000 0.0000 0.0000
Se 0.5000 0.5000 0.5000


[19]
The following is a DFT calculation (PBE-GGA) of a relaxed YZnCu2Mo crystal.

abc: 4.4159 5.1692 4.4159
angles: 90.00 90.00 90.00
Each line ends with the local moment (μB).
Fractional coordinates of all 5 atoms:
Y 0.0000 0.5000 0.0000  -0.07
Mo 0.5000 0.5000 0.5000  1.75
Zn 0.0000 0.0000 0.0000  -0.04
Cu 0.0000 0.0000 0.5000  -0.03
Cu 0.5000 0.0000 0.0000  -0.01

Values from the calculation:
Energy relative to the elements   973 meV/atom


[20]
The following is a DFT calculation (PBE-GGA) of a relaxed PaTaTiAl crystal.

abc: 4.7286 4.7286 4.7286
angles: 60.00 60.00 60.00
Fractional coordinates of all 4 atoms:
Pa 0.2500 0.2500 0.2500
Ti 0.0000 0.0000 0.0000
Al 0.7500 0.7500 0.7500
Ta 0.5000 0.5000 0.5000

Values from the calculation:
Energy relative to the elements   -49 meV/atom


[21]
The following is a DFT calculation (PBE-GGA) of a relaxed GdRhAu crystal.

abc: 3.5969 3.5969 5.3072
angles: 109.81 109.81 90.00
Each line ends with the local moment (μB).
Fractional coordinates of all 3 atoms:
Au 0.2782 0.2782 0.5565  0.02
Gd 0.9570 0.9570 0.9139  7.02
Rh 0.6148 0.6148 0.2296  0.00

Values from the calculation:
Polymorph energy (0 for the lowest one)   0 meV/atom
Energy relative to the elements   -584 meV/atom


[22]
The following is a DFT calculation (PBE-GGA) of a relaxed LiZn2Cd2Pt5 crystal.

abc: 3.8681 9.2283 9.2283
angles: 90.00 90.00 90.00
Fractional coordinates of all 20 atoms:
Li 0.0000 0.0000 0.0000
Li 0.0000 0.5000 0.5000
Zn 0.0000 0.1286 0.6286
Zn 0.0000 0.8714 0.3714
Zn 0.0000 0.6286 0.8714
Zn 0.0000 0.3714 0.1286
Cd 0.0000 0.6714 0.1714
Cd 0.0000 0.3286 0.8286
Cd 0.0000 0.1714 0.3286
Cd 0.0000 0.8286 0.6714
Pt 0.5000 0.1956 0.0736
Pt 0.5000 0.8044 0.9264
Pt 0.5000 0.0736 0.8044
Pt 0.5000 0.6956 0.4264
Pt 0.5000 0.9264 0.1956
Pt 0.5000 0.3044 0.5736
Pt 0.5000 0.5736 0.6956
Pt 0.5000 0.4264 0.3044
Pt 0.5000 0.5000 0.0000
Pt 0.5000 0.0000 0.5000

Values from the calculation:
Energy relative to the elements   -351 meV/atom


[23]
The following is a DFT calculation (PBE-GGA) of a relaxed TaReSe4 crystal.

abc: 3.4481 3.4481 13.0315
angles: 90.00 90.00 120.00
Each line ends with the local moment (μB).
Fractional coordinates of all 6 atoms:
Ta 0.0000 0.0000 0.0000  0.00
Re 0.3333 0.6667 0.5000  0.08
Se 0.3333 0.6667 0.1290  0.00
Se 0.0000 0.0000 0.3799  0.00
Se 0.0000 0.0000 0.6201  0.00
Se 0.3333 0.6667 0.8710  0.00

Values from the calculation:
Polymorph energy (0 for the lowest one)   93 meV/atom


[24]
The following is a DFT calculation (PBE-GGA) of a relaxed DyHoPtRh crystal.

abc: 3.7706 4.3246 5.6191
angles: 90.00 109.60 90.00
Fractional coordinates of all 4 atoms:
Dy 0.1427 0.0000 0.2854
Ho 0.8613 0.5000 0.7227
Pt 0.5860 0.5000 0.1719
Rh 0.4100 0.0000 0.8200

Values from the calculation:
Polymorph energy (0 for the lowest one)   0 meV/atom
Energy relative to the elements   -1073 meV/atom


[25]
The following is a DFT calculation (PBE-GGA) of a relaxed Pu3Ge2Pd2 crystal.

abc: 5.7028 8.0731 13.0726
angles: 90.00 90.00 90.00
Each line ends with the local moment (μB).
Fractional coordinates of all 28 atoms:
Pu 0.1292 0.6082 0.1004  -5.30
Pu 0.8708 0.3918 0.6004  -5.30
Pu 0.8708 0.1082 0.3996  -5.30
Pu 0.1292 0.8918 0.8996  -5.30
Pu 0.8708 0.3918 0.8996  -5.30
Pu 0.1292 0.6082 0.3996  -5.30
Pu 0.1292 0.8918 0.6004  -5.30
Pu 0.8708 0.1082 0.1004  -5.30
Pu 0.3481 0.2467 0.2500  5.17
Pu 0.6519 0.7533 0.7500  5.17
Pu 0.6519 0.7467 0.2500  5.17
Pu 0.3481 0.2533 0.7500  5.17
Ge 0.3206 0.2500 0.0000  0.05
Ge 0.6794 0.7500 0.5000  0.05
Ge 0.6794 0.7500 0.0000  0.05
Ge 0.3206 0.2500 0.5000  0.05
Ge 0.8634 0.3917 0.2500  0.01
Ge 0.1366 0.6083 0.7500  0.01
Ge 0.1366 0.8917 0.2500  0.01
Ge 0.8634 0.1083 0.7500  0.01
Pd 0.6114 0.4581 0.0938  0.00
Pd 0.3886 0.5419 0.5938  0.00
Pd 0.3886 0.9581 0.4062  0.00
Pd 0.6114 0.0419 0.9062  0.00
Pd 0.3886 0.5419 0.9062  0.00
Pd 0.6114 0.4581 0.4062  0.00
Pd 0.6114 0.0419 0.5938  0.00
Pd 0.3886 0.9581 0.0938  0.00

Values from the calculation:
Energy relative to the elements   -528 meV/atom


[26]
The following is a DFT calculation (PBE-GGA) of a relaxed TcTeAu2 crystal.

abc: 5.9664 5.9664 3.3191
angles: 73.99 73.99 124.99
Each line ends with the local moment (μB).
Fractional coordinates of all 4 atoms:
Au 0.0000 0.0000 0.0000  0.01
Au 0.5000 0.5000 0.0000  0.01
Tc 0.5000 0.0000 0.5000  0.87
Te 0.0000 0.5000 0.5000  -0.01


no.,uncorrected energy (eV for the cell shown)
1,-35.785
2,-20.070
3,-9.401
4,-45.185
5,-41.006
6,-24.095
7,-54.047
8,-18.014
9,-15.818
10,-14.551
11,-29.235
12,-5.003
13,-23.093
14,-47.424
15,-24.976
16,-18.685
17,-61.783
18,-10.961
19,-21.898
20,-33.182
21,-26.462
22,-80.008
23,-41.116
24,-26.862
25,-265.252
26,-18.319